[1]
Compound: Ac2Tb2Sm3
Source: Alexandria via LeMat-Bulk
Functional: PBE
Structure: optimized geometry

Cell lengths 5.8016, 5.7963, 9.4881 Å; angles 72.09, 72.01, 60.08 degrees
Closest atoms and distances in Å follow each position.
Fractional positions:
Sm 0.2735 0.2727 0.1815  4 Tb 3.36-3.51, 1 Ac 3.71, 3 Sm 3.71-3.72
Sm 0.7265 0.7273 0.8185  4 Tb 3.36-3.51, 1 Ac 3.71, 3 Sm 3.71-3.72
Sm 0.0000 0.0000 0.0000  2 Ac 3.55, 6 Sm 3.71-3.72, 6 Tb 3.84-3.86
Tb 0.5963 0.5953 0.2143  4 Sm 3.36-3.51, 3 Ac 3.73-3.74
Tb 0.4037 0.4047 0.7857  4 Sm 3.36-3.51, 3 Ac 3.73-3.74
Ac 0.1333 0.1331 0.5999  5 Sm 3.55-3.87, 3 Tb 3.73-3.74, 3 Ac 3.79
Ac 0.8667 0.8669 0.4001  5 Sm 3.55-3.87, 3 Tb 3.73-3.74, 3 Ac 3.79

Results
- formation enthalpy at 0 K (meV/atom) = 147
- total DFT energy (no corrections) (eV for the cell shown) = -30.6
- density of states at the Fermi level (states/eV/cell) = 12.981

---

[2]
Compound: Ac5Tb4Sm
Source: Alexandria via LeMat-Bulk
Functional: PBE
Structure: optimized geometry

Cell lengths 5.4685, 10.9316, 10.0189 Å; angles 41.55, 74.16, 75.52 degrees
Closest atoms and distances in Å follow each position.
Fractional positions:
Ac 0.6007 0.6977 0.1010  6 Tb 3.73-3.75, 2 Sm 3.76, 4 Ac 3.86
Ac 0.2005 0.8990 0.7001  7 Tb 3.73-3.75, 1 Sm 3.74, 4 Ac 3.86
Ac 0.7995 0.1010 0.2999  7 Tb 3.73-3.75, 1 Sm 3.74, 4 Ac 3.86
Ac 0.0000 0.5000 0.5000  6 Tb 3.73-3.75, 2 Sm 3.74, 4 Ac 3.86
Ac 0.3993 0.3023 0.8990  6 Tb 3.73-3.75, 2 Sm 3.76, 4 Ac 3.86
Tb 0.3999 0.8010 0.3992  8 Ac 3.73-3.75, 2 Tb 3.86, 2 Sm 3.86
Tb 0.6001 0.1990 0.6008  8 Ac 3.73-3.75, 2 Tb 3.86, 2 Sm 3.86
Tb 0.8003 0.6006 0.7987  8 Ac 3.73-3.74, 4 Tb 3.86-3.87
Tb 0.1997 0.3994 0.2013  8 Ac 3.73-3.74, 4 Tb 3.86-3.87
Sm 0.0000 0.0000 0.0000  8 Ac 3.74-3.76, 4 Tb 3.86

Results
- formation enthalpy at 0 K (meV/atom) = 44
- total DFT energy (no corrections) (eV for the cell shown) = -43.3
- density of states at the Fermi level (states/eV/cell) = 14.536

---

[3]
Compound: AcTb5Sm2
Source: Alexandria via LeMat-Bulk
Functional: PBE
Structure: optimized geometry

Cell lengths 5.1274, 7.2680, 14.5397 Å; angles 90.00, 90.00, 90.00 degrees
Closest atoms and distances in Å follow each position.
Fractional positions:
Tb 0.0000 0.5011 0.7466  4 Sm 3.57-3.64, 7 Tb 3.57-3.65, 1 Ac 3.68
Tb 0.0000 0.9989 0.2466  4 Sm 3.57-3.64, 7 Tb 3.57-3.65, 1 Ac 3.68
Tb 0.5000 0.2520 0.3723  4 Sm 3.55-3.72, 6 Tb 3.57-3.65, 2 Ac 3.66
Tb 0.0000 0.0000 0.0000  6 Tb 3.59-3.64, 2 Ac 3.63, 4 Sm 3.64
Tb 0.5000 0.2480 0.8723  4 Sm 3.55-3.72, 6 Tb 3.57-3.65, 2 Ac 3.66
Tb 0.5000 0.7480 0.6277  4 Sm 3.55-3.72, 6 Tb 3.57-3.65, 2 Ac 3.66
Tb 0.0000 0.0011 0.7534  4 Sm 3.57-3.64, 7 Tb 3.57-3.65, 1 Ac 3.68
Tb 0.0000 0.4989 0.2534  4 Sm 3.57-3.64, 7 Tb 3.57-3.65, 1 Ac 3.68
Tb 0.5000 0.7520 0.1277  4 Sm 3.55-3.72, 6 Tb 3.57-3.65, 2 Ac 3.66
Tb 0.0000 0.5000 0.5000  6 Tb 3.59-3.64, 2 Ac 3.63, 4 Sm 3.64
Sm 0.5000 0.2461 0.1280  10 Tb 3.55-3.72, 2 Ac 3.67
Sm 0.5000 0.2539 0.6280  10 Tb 3.55-3.72, 2 Ac 3.67
Sm 0.5000 0.7461 0.3720  10 Tb 3.55-3.72, 2 Ac 3.67
Sm 0.5000 0.7539 0.8720  10 Tb 3.55-3.72, 2 Ac 3.67
Ac 0.0000 0.0000 0.5000  8 Tb 3.63-3.68, 4 Sm 3.67
Ac 0.0000 0.5000 0.0000  8 Tb 3.63-3.68, 4 Sm 3.67

Results
- formation enthalpy at 0 K (meV/atom) = 33
- total DFT energy (no corrections) (eV for the cell shown) = -72.9
- density of states at the Fermi level (states/eV/cell) = 22.470